Record 1
Below is a relaxed Mg3Ir crystal, with properties calculated at the PBE-GGA level.

a b c (Å): 5.849 4.660 5.113
angles (deg): 90.00 90.00 90.00
Positions (direct):
Mg 0.000 0.500 0.368
Ir 0.000 0.000 0.687
Mg 0.752 0.000 0.170
Ir 0.500 0.500 0.313
Mg 0.500 0.000 0.632
Mg 0.248 0.000 0.170
Mg 0.252 0.500 0.830
Mg 0.748 0.500 0.830

The space group is No. 59. The value obtained for the formation energy is -0.299 eV per atom. For the total energy, the calculation gives -3.710 eV/atom. The calculation puts the total magnetization at 0.00 μB per formula unit. For the density of states at the Fermi level, the calculation gives 3.61 states/eV per cell.

---

Record 2
Below is a relaxed MgIr4 crystal, with properties calculated at the PBE-GGA level.

a b c (Å): 4.400 4.400 4.400
angles (deg): 90.00 90.00 90.00
Positions (direct):
Ir 0.500 0.500 0.000
Mg 0.500 0.500 0.500
Ir 0.000 0.500 0.500
Ir 0.500 0.000 0.500
Ir 0.000 0.000 0.000

The space group is No. 221. The value obtained for the formation energy is 1.887 eV per atom. Its energy above the most stable polymorph in this dataset is 2026.3 meV per atom. For the total energy, the calculation gives -5.521 eV/atom. The calculation puts the total magnetization at 0.01 μB per formula unit. For the density of states at the Fermi level, the calculation gives 8.61 states/eV per cell.

---

Record 3
Below is a relaxed Mg3Ir crystal, with properties calculated at the PBE-GGA level.

a b c (Å): 3.005 3.005 9.469
angles (deg): 90.00 90.00 120.00
Positions (direct):
Ir 0.000 0.000 0.000
Mg 0.333 0.667 0.219
Mg 0.000 0.000 0.500
Mg 0.333 0.667 0.781

The space group is No. 187. The value obtained for the formation energy is -0.091 eV per atom. For the total energy, the calculation gives -3.502 eV/atom. The calculation puts the total magnetization at 0.00 μB per formula unit. For the density of states at the Fermi level, the calculation gives 1.18 states/eV per cell.